# 1
The following is a DFT calculation (PBE-GGA) of an optimized crystal structure of La3YCu.

Computed properties:
* DFT total energy: -4.886 eV per atom
* total magnetization: 0.0 μB/f.u.
* formation enthalpy at 0 K: 0.183 eV/atom

Cell lengths 5.648, 5.648, 5.648 Å; angles 90.00, 90.00, 90.00 degrees
Space group Pm-3m (No. 221)
Asymmetric unit:
1 La 0.000 0.000 0.500 (multiplicity 3)
2 Y 0.500 0.500 0.500 (multiplicity 1)
3 Cu 0.000 0.000 0.000 (multiplicity 1)

# 2
The following is a DFT calculation (PBE-GGA) of an optimized crystal structure of Pu2MgPd9.

Computed properties:
* DFT total energy: -6.947 eV per atom
* total magnetization: 8.8 μB/f.u.
* formation enthalpy at 0 K: -0.531 eV/atom

Cell lengths 4.113, 4.113, 12.134 Å; angles 90.00, 90.00, 90.00 degrees
Space group P4/mmm (No. 123)
Asymmetric unit:
1 Pu 0.000 0.000 0.174 (multiplicity 2)
2 Mg 0.000 0.000 0.500 (multiplicity 1)
3 Pd 0.000 0.500 0.000 (multiplicity 2)
4 Pd 0.000 0.500 0.340 (multiplicity 4)
5 Pd 0.500 0.500 0.170 (multiplicity 2)
6 Pd 0.500 0.500 0.500 (multiplicity 1)

# 3
The following is a DFT calculation (PBE-GGA) of an optimized crystal structure of CoBTe.

Computed properties:
* ΔE_f (raw): 0.441 eV per atom
* DFT total energy: -5.201 eV per atom
* total magnetization: 0.0 μB/f.u.

Cell lengths 6.314, 3.653, 4.446 Å; angles 90.00, 118.49, 90.00 degrees
Space group Cm (No. 8)
Asymmetric unit:
1 Co 0.000 0.000 0.000 (multiplicity 2)
2 B 0.180 0.500 0.040 (multiplicity 2)
3 Te 0.211 0.000 0.634 (multiplicity 2)

# 4
The following is a DFT calculation (PBE-GGA) of an optimized crystal structure of LaBN3.

Computed properties:
* ΔE_f (raw): 0.297 eV per atom
* DFT total energy: -7.020 eV per atom
* total magnetization: 0.0 μB/f.u.

Cell lengths 3.625, 3.625, 3.625 Å; angles 90.00, 90.00, 90.00 degrees
Space group Pm-3m (No. 221)
Asymmetric unit:
1 La 0.000 0.000 0.000 (multiplicity 1)
2 B 0.500 0.500 0.500 (multiplicity 1)
3 N 0.000 0.500 0.500 (multiplicity 3)

> Number 4 is which compound?

LaBN3

> DFT total energy of number 1 (La3YCu)?

-4.886 eV per atom

> Among the records above, which one has the highest total magnetization?

Pu2MgPd9